(1)
Density functional theory data (GGA+U) for a geometry-optimized K2MnBeO4 structure.

Computed properties:
Total DFT energy (no corrections) = -5.840 eV per atom
M_tot = 3.00 μB/f.u.

Lattice parameters (Å, degrees): 4.749 11.237 19.966 90.00 90.00 90.00
Space group Fddd (No. 70, origin choice 2)
Asymmetric unit:
1 K 0.125 0.125 0.300 (multiplicity 16)
2 Mn 0.125 0.125 0.125 (multiplicity 8)
3 Be 0.125 0.125 0.625 (multiplicity 8)
4 O 0.103 0.294 0.832 (multiplicity 32)


(2)
Density functional theory data (GGA+U) for a geometry-optimized KMnBeO4 structure.

Computed properties:
Total DFT energy (no corrections) = -6.080 eV per atom
DOS at the Fermi energy = 4.5 states/eV/cell
M_tot = 2.00 μB/f.u.

Lattice parameters (Å, degrees): 4.856 5.253 6.766 90.00 96.74 90.00
Space group P2_1/m (No. 11)
Asymmetric unit:
1 K 0.211 0.250 0.076 (multiplicity 2)
2 Mn 0.174 0.750 0.461 (multiplicity 2)
3 Be 0.359 0.250 0.650 (multiplicity 2)
4 O 0.127 0.020 0.666 (multiplicity 4)
5 O 0.342 0.750 0.218 (multiplicity 2)
6 O 0.465 0.250 0.432 (multiplicity 2)


Q: Which value of M_tot does entry 1 give?
A: 3.00 μB/f.u.


Q: Which of these has the lowest total DFT energy (no corrections)?
A: KMnBeO4


Q: What is the formula in the second record?
A: KMnBeO4


Please write out number 2 again, unchanged.
Density functional theory data (GGA+U) for a geometry-optimized KMnBeO4 structure.

Computed properties:
Total DFT energy (no corrections) = -6.080 eV per atom
DOS at the Fermi energy = 4.5 states/eV/cell
M_tot = 2.00 μB/f.u.

Lattice parameters (Å, degrees): 4.856 5.253 6.766 90.00 96.74 90.00
Space group P2_1/m (No. 11)
Asymmetric unit:
1 K 0.211 0.250 0.076 (multiplicity 2)
2 Mn 0.174 0.750 0.461 (multiplicity 2)
3 Be 0.359 0.250 0.650 (multiplicity 2)
4 O 0.127 0.020 0.666 (multiplicity 4)
5 O 0.342 0.750 0.218 (multiplicity 2)
6 O 0.465 0.250 0.432 (multiplicity 2)